1) Here is SmEuTh after structural relaxation from Alexandria via LeMat-Bulk. Energies are from GGA-PBE.

a = 3.6438 Å, b = 3.6438 Å, c = 8.3405 Å
α = 102.62°, β = 102.62°, γ = 90.00°
Element x y z (fractional)
Eu1 0.9949 0.9949 0.9898
Th1 0.3275 0.3275 0.6551
Sm1 0.6775 0.6775 0.3551

Volume   35.1 Å³ per atom

---

2) Here is SmEuTh after structural relaxation from Alexandria via LeMat-Bulk. Energies are from GGA-PBE.

a = 3.6471 Å, b = 3.6471 Å, c = 9.0721 Å
α = 90.00°, β = 90.00°, γ = 120.00°
Element x y z (fractional)
Eu1 0.0000 0.0000 0.9923
Sm1 0.6667 0.3333 0.3485
Th1 0.3333 0.6667 0.6592

Volume   34.8 Å³ per atom

---

It is 1) that is the least stable of them.

---

1) Here is SmEu2Tl after structural relaxation from Alexandria via LeMat-Bulk. Energies are from GGA-PBE.

a = 3.6674 Å, b = 3.6674 Å, c = 12.4749 Å
α = 81.55°, β = 81.55°, γ = 60.00°
Element x y z (fractional)
Eu1 0.0949 0.0949 0.7153
Eu2 0.9051 0.9051 0.2847
Tl1 0.5000 0.5000 0.5000
Sm1 0.0000 0.0000 0.0000

Volume   35.8 Å³ per atom

---

2) Here is SmEu2Tl after structural relaxation from Alexandria via LeMat-Bulk. Energies are from GGA-PBE.

a = 5.7046 Å, b = 5.7046 Å, c = 5.7046 Å
α = 60.00°, β = 60.00°, γ = 60.00°
Element x y z (fractional)
Eu1 0.2500 0.2500 0.2500
Eu2 0.7500 0.7500 0.7500
Tl1 0.5000 0.5000 0.5000
Sm1 0.0000 0.0000 0.0000

Volume   32.8 Å³ per atom

---

It is 1) that is the least stable of them.

---

1) Here is SmEu2Tl after structural relaxation from Alexandria via LeMat-Bulk. Energies are from GGA-PBE.

a = 3.7604 Å, b = 3.7604 Å, c = 9.7731 Å
α = 90.00°, β = 90.00°, γ = 90.00°
Element x y z (fractional)
Eu1 0.0000 0.0000 0.7784
Eu2 0.0000 0.0000 0.2216
Tl1 0.5000 0.5000 0.0000
Sm1 0.5000 0.5000 0.5000

Volume   34.5 Å³ per atom

---

2) Here is SmEu2Tl after structural relaxation from Alexandria via LeMat-Bulk. Energies are from GGA-PBE.

a = 5.2594 Å, b = 4.9578 Å, c = 4.9578 Å
α = 90.00°, β = 90.00°, γ = 90.00°
Element x y z (fractional)
Eu1 0.0000 0.0000 0.5000
Eu2 0.0000 0.5000 0.0000
Tl1 0.5000 0.0000 0.0000
Sm1 0.5000 0.5000 0.5000

Volume   32.3 Å³ per atom

---

It is 1) that is the least stable of them.

---

1) Here is SmEuTl after structural relaxation from Alexandria via LeMat-Bulk. Energies are from GGA-PBE.

a = 3.7848 Å, b = 5.4221 Å, c = 5.4221 Å
α = 120.00°, β = 90.00°, γ = 90.00°
Element x y z (fractional)
Eu1 0.6906 0.3333 0.6667
Tl1 0.0510 0.0000 0.0000
Sm1 0.2584 0.6667 0.3333

Volume   32.1 Å³ per atom

---

2) Here is SmEuTl after structural relaxation from Alexandria via LeMat-Bulk. Energies are from GGA-PBE.

a = 3.4427 Å, b = 3.4427 Å, c = 9.3535 Å
α = 100.60°, β = 100.60°, γ = 90.00°
Element x y z (fractional)
Eu1 0.7634 0.7634 0.5268
Tl1 0.1295 0.1295 0.2591
Sm1 0.9571 0.9571 0.9141

Volume   35.7 Å³ per atom

---

3) Here is SmEuTl after structural relaxation from Alexandria via LeMat-Bulk. Energies are from GGA-PBE.

a = 5.3907 Å, b = 5.3907 Å, c = 5.3907 Å
α = 60.00°, β = 60.00°, γ = 60.00°
Element x y z (fractional)
Eu1 0.5000 0.5000 0.5000
Tl1 0.2500 0.2500 0.2500
Sm1 0.0000 0.0000 0.0000

Volume   36.9 Å³ per atom

---

It is 2) that is the least stable of them.

---

1) Here is Sm2EuY after structural relaxation from Alexandria via LeMat-Bulk. Energies are from GGA-PBE.

a = 5.8220 Å, b = 5.8220 Å, c = 5.8220 Å
α = 60.00°, β = 60.00°, γ = 60.00°
Element x y z (fractional)
Eu1 0.0000 0.0000 0.0000
Y1 0.5000 0.5000 0.5000
Sm1 0.2500 0.2500 0.2500
Sm2 0.7500 0.7500 0.7500

Volume   34.9 Å³ per atom

---

2) Here is Sm2EuY after structural relaxation from Alexandria via LeMat-Bulk. Energies are from GGA-PBE.

a = 3.8527 Å, b = 6.0097 Å, c = 6.0097 Å
α = 90.00°, β = 90.00°, γ = 90.00°
Element x y z (fractional)
Eu1 0.5000 0.0000 0.0000
Y1 0.5000 0.5000 0.5000
Sm1 0.0000 0.0000 0.5000
Sm2 0.0000 0.5000 0.0000

Volume   34.8 Å³ per atom

---

It is 1) that is the least stable of them.

---

1) Here is SmEu2Zn after structural relaxation from Alexandria via LeMat-Bulk. Energies are from GGA-PBE.

a = 3.7182 Å, b = 3.7182 Å, c = 9.2224 Å
α = 90.00°, β = 90.00°, γ = 90.00°
Element x y z (fractional)
Eu1 0.0000 0.0000 0.7978
Eu2 0.0000 0.0000 0.2022
Zn1 0.5000 0.5000 0.0000
Sm1 0.5000 0.5000 0.5000

Volume   31.9 Å³ per atom

---

2) Here is SmEu2Zn after structural relaxation from Alexandria via LeMat-Bulk. Energies are from GGA-PBE.

a = 5.0697 Å, b = 4.9112 Å, c = 4.9112 Å
α = 90.00°, β = 90.00°, γ = 90.00°
Element x y z (fractional)
Eu1 0.0000 0.0000 0.5000
Eu2 0.0000 0.5000 0.0000
Zn1 0.5000 0.0000 0.0000
Sm1 0.5000 0.5000 0.5000

Volume   30.6 Å³ per atom

---

3) Here is SmEu2Zn after structural relaxation from Alexandria via LeMat-Bulk. Energies are from GGA-PBE.

a = 3.7394 Å, b = 3.7394 Å, c = 11.2053 Å
α = 80.39°, β = 80.39°, γ = 60.00°
Element x y z (fractional)
Eu1 0.7383 0.7383 0.7851
Eu2 0.2617 0.2617 0.2149
Zn1 0.0000 0.0000 0.0000
Sm1 0.5000 0.5000 0.5000

Volume   33.3 Å³ per atom

---

It is 2) that is the least stable of them.

---

1) Here is Sm2EuZn after structural relaxation from Alexandria via LeMat-Bulk. Energies are from GGA-PBE.

a = 4.7617 Å, b = 4.9340 Å, c = 4.9340 Å
α = 90.00°, β = 90.00°, γ = 90.00°
Element x y z (fractional)
Eu1 0.5000 0.5000 0.5000
Zn1 0.5000 0.0000 0.0000
Sm1 0.0000 0.0000 0.5000
Sm2 0.0000 0.5000 0.0000

Volume   29.0 Å³ per atom

---

2) Here is Sm2EuZn after structural relaxation from Alexandria via LeMat-Bulk. Energies are from GGA-PBE.

a = 3.6941 Å, b = 3.6941 Å, c = 8.9871 Å
α = 90.00°, β = 90.00°, γ = 90.00°
Element x y z (fractional)
Eu1 0.5000 0.5000 0.0000
Zn1 0.5000 0.5000 0.5000
Sm1 0.0000 0.0000 0.6932
Sm2 0.0000 0.0000 0.3068

Volume   30.7 Å³ per atom

---

It is 1) that is the least stable of them.

---

1) Here is EuThSn2 after structural relaxation from Alexandria via LeMat-Bulk. Energies are from GGA-PBE.

a = 5.5111 Å, b = 5.5111 Å, c = 5.5111 Å
α = 60.00°, β = 60.00°, γ = 60.00°
Element x y z (fractional)
Eu1 0.0000 0.0000 0.0000
Sn1 0.2500 0.2500 0.2500
Sn2 0.7500 0.7500 0.7500
Th1 0.5000 0.5000 0.5000

Volume   29.6 Å³ per atom

---

2) Here is EuThSn2 after structural relaxation from Alexandria via LeMat-Bulk. Energies are from GGA-PBE.

a = 3.5621 Å, b = 3.5621 Å, c = 9.1431 Å
α = 90.00°, β = 90.00°, γ = 90.00°
Element x y z (fractional)
Eu1 0.5000 0.5000 0.5000
Sn1 0.0000 0.0000 0.7511
Sn2 0.0000 0.0000 0.2489
Th1 0.5000 0.5000 0.0000

Volume   29.0 Å³ per atom

---

3) Here is EuThSn2 after structural relaxation from Alexandria via LeMat-Bulk. Energies are from GGA-PBE.

a = 4.4614 Å, b = 5.0962 Å, c = 5.0962 Å
α = 90.00°, β = 90.00°, γ = 90.00°
Element x y z (fractional)
Eu1 0.5000 0.5000 0.5000
Sn1 0.0000 0.0000 0.5000
Sn2 0.0000 0.5000 0.0000
Th1 0.5000 0.0000 0.0000

Volume   29.0 Å³ per atom

---

It is 1) that is the least stable of them.

---

1) Here is EuTlSn after structural relaxation from Alexandria via LeMat-Bulk. Energies are from GGA-PBE.

a = 4.0304 Å, b = 5.0919 Å, c = 5.0919 Å
α = 120.00°, β = 90.00°, γ = 90.00°
Element x y z (fractional)
Eu1 0.6534 0.6667 0.3333
Tl1 0.2956 0.3333 0.6667
Sn1 0.0510 0.0000 0.0000

Volume   30.2 Å³ per atom

---

2) Here is EuTlSn after structural relaxation from Alexandria via LeMat-Bulk. Energies are from GGA-PBE.

a = 3.4110 Å, b = 3.4110 Å, c = 9.2871 Å
α = 100.58°, β = 100.58°, γ = 90.00°
Element x y z (fractional)
Eu1 0.9512 0.9512 0.9023
Tl1 0.7659 0.7659 0.5317
Sn1 0.1330 0.1330 0.2659

Volume   34.8 Å³ per atom

---

It is 2) that is the least stable of them.

---

1) Here is EuTl2Sn after structural relaxation from Alexandria via LeMat-Bulk. Energies are from GGA-PBE.

a = 5.5256 Å, b = 5.5256 Å, c = 5.5256 Å
α = 60.00°, β = 60.00°, γ = 60.00°
Element x y z (fractional)
Eu1 0.0000 0.0000 0.0000
Tl1 0.2500 0.2500 0.2500
Tl2 0.7500 0.7500 0.7500
Sn1 0.5000 0.5000 0.5000

Volume   29.8 Å³ per atom

---

2) Here is EuTl2Sn after structural relaxation from Alexandria via LeMat-Bulk. Energies are from GGA-PBE.

a = 4.9324 Å, b = 4.8036 Å, c = 4.8036 Å
α = 90.00°, β = 90.00°, γ = 90.00°
Element x y z (fractional)
Eu1 0.5000 0.5000 0.5000
Tl1 0.0000 0.0000 0.5000
Tl2 0.0000 0.5000 0.0000
Sn1 0.5000 0.0000 0.0000

Volume   28.5 Å³ per atom

---

3) Here is EuTl2Sn after structural relaxation from Alexandria via LeMat-Bulk. Energies are from GGA-PBE.

a = 4.0129 Å, b = 4.0129 Å, c = 7.3628 Å
α = 90.00°, β = 90.00°, γ = 90.00°
Element x y z (fractional)
Eu1 0.5000 0.5000 0.5000
Tl1 0.0000 0.0000 0.7739
Tl2 0.0000 0.0000 0.2261
Sn1 0.5000 0.5000 0.0000

Volume   29.6 Å³ per atom

---

It is 3) that is the least stable of them.

---

1) Here is Eu2TmSn after structural relaxation from Alexandria via LeMat-Bulk. Energies are from GGA-PBE.

a = 5.1311 Å, b = 4.8589 Å, c = 4.8589 Å
α = 90.00°, β = 90.00°, γ = 90.00°
Element x y z (fractional)
Eu1 0.0000 0.0000 0.5000
Eu2 0.0000 0.5000 0.0000
Tm1 0.5000 0.5000 0.5000
Sn1 0.5000 0.0000 0.0000

Volume   30.3 Å³ per atom

---

2) Here is Eu2TmSn after structural relaxation from Alexandria via LeMat-Bulk. Energies are from GGA-PBE.

a = 3.6026 Å, b = 3.6026 Å, c = 12.6662 Å
α = 81.82°, β = 81.82°, γ = 60.00°
Element x y z (fractional)
Eu1 0.0870 0.0870 0.7390
Eu2 0.9130 0.9130 0.2610
Tm1 0.5000 0.5000 0.5000
Sn1 0.0000 0.0000 0.0000

Volume   35.1 Å³ per atom

---

It is 2) that is the least stable of them.

---

1) Here is EuTm2Sn after structural relaxation from Alexandria via LeMat-Bulk. Energies are from GGA-PBE.

a = 5.4086 Å, b = 5.4086 Å, c = 5.4084 Å
α = 60.00°, β = 60.00°, γ = 60.00°
Element x y z (fractional)
Eu1 0.5000 0.5000 0.5000
Tm1 0.2501 0.2501 0.2496
Tm2 0.7499 0.7499 0.7504
Sn1 0.0000 0.0000 0.0000

Volume   28.0 Å³ per atom

---

2) Here is EuTm2Sn after structural relaxation from Alexandria via LeMat-Bulk. Energies are from GGA-PBE.

a = 4.7469 Å, b = 4.8844 Å, c = 4.8844 Å
α = 90.00°, β = 90.00°, γ = 90.00°
Element x y z (fractional)
Eu1 0.5000 0.5000 0.5000
Tm1 0.0000 0.0000 0.5000
Tm2 0.0000 0.5000 0.0000
Sn1 0.5000 0.0000 0.0000

Volume   28.3 Å³ per atom

---

3) Here is EuTm2Sn after structural relaxation from Alexandria via LeMat-Bulk. Energies are from GGA-PBE.

a = 3.5826 Å, b = 3.5826 Å, c = 9.4997 Å
α = 90.00°, β = 90.00°, γ = 90.00°
Element x y z (fractional)
Eu1 0.5000 0.5000 0.0000
Tm1 0.0000 0.0000 0.7100
Tm2 0.0000 0.0000 0.2900
Sn1 0.5000 0.5000 0.5000

Volume   30.5 Å³ per atom

---

It is 1) that is the least stable of them.

---

1) Here is SrEu2 after structural relaxation from Alexandria via LeMat-Bulk. Energies are from GGA-PBE.

a = 4.0696 Å, b = 4.0696 Å, c = 8.9150 Å
α = 103.19°, β = 103.19°, γ = 90.00°
Element x y z (fractional)
Eu1 0.6738 0.6738 0.3476
Eu2 0.3262 0.3262 0.6524
Sr1 0.0000 0.0000 0.0000

Volume   46.6 Å³ per atom

---

2) Here is SrEu2 after structural relaxation from Alexandria via LeMat-Bulk. Energies are from GGA-PBE.

a = 7.4199 Å, b = 7.4199 Å, c = 7.4199 Å
α = 60.00°, β = 60.00°, γ = 60.00°
Element x y z (fractional)
Eu1 0.1250 0.6250 0.6250
Eu2 0.6250 0.1250 0.6250
Eu3 0.6250 0.6250 0.6250
Eu4 0.6250 0.6250 0.1250
Sr1 0.0000 0.0000 0.0000
Sr2 0.2500 0.2500 0.2500

Volume   48.1 Å³ per atom

---

It is 2) that is the least stable of them.